Record 1
DFT (PBE-GGA) results for a relaxed CuBrF crystal.

ΔE_f (raw) (eV/f.u.): -2.466
Total magnetic moment (μB per formula unit): 0.00
Symmetry: P2_1/m, No. 11

abc: 3.825 5.242 5.237
angles: 90.00 90.09 90.00
Fractional coordinates of all 6 atoms:
Cu 0.001 0.250 0.249
Cu 0.999 0.750 0.751
Br 0.000 0.250 0.749
Br 0.000 0.750 0.251
F 0.499 0.750 0.751
F 0.501 0.250 0.249

=====

Record 2
DFT (PBE-GGA) results for a relaxed CrP5Pb2 crystal.

Energy of formation from the pure elements (meV/atom): 172
Total magnetic moment (μB per formula unit): 1.17
Symmetry: C2/m, No. 12

abc: 7.985 7.985 10.073
angles: 116.38 116.38 37.78
Fractional coordinates of all 16 atoms:
Cr 0.225 0.225 0.219
Cr 0.775 0.775 0.781
P 0.067 0.494 0.620
P 0.074 0.074 0.994
P 0.213 0.787 0.500
P 0.395 0.395 0.339
P 0.494 0.067 0.620
P 0.506 0.933 0.380
P 0.605 0.605 0.661
P 0.787 0.213 0.500
P 0.926 0.926 0.006
P 0.933 0.506 0.380
Pb 0.232 0.232 0.885
Pb 0.496 0.496 0.824
Pb 0.504 0.504 0.176
Pb 0.768 0.768 0.115

=====

Record 3
DFT (PBE-GGA) results for a relaxed Ho12Hg3H5 crystal.

Total magnetic moment (μB per formula unit): 0.00
E (eV/f.u.): -77.9
Symmetry: Ia-3d, No. 230

abc: 13.346 13.346 13.346
angles: 109.47 109.47 109.47
Fractional coordinates of all 80 atoms:
Ho 0.013 0.206 0.109
Ho 0.013 0.307 0.904
Ho 0.096 0.609 0.403
Ho 0.096 0.987 0.693
Ho 0.097 0.706 0.693
Ho 0.097 0.891 0.404
Ho 0.109 0.013 0.206
Ho 0.109 0.596 0.903
Ho 0.193 0.206 0.597
Ho 0.193 0.487 0.596
Ho 0.206 0.109 0.013
Ho 0.206 0.597 0.193
Ho 0.294 0.307 0.903
Ho 0.294 0.487 0.391
Ho 0.307 0.903 0.294
Ho 0.307 0.904 0.013
Ho 0.391 0.294 0.487
Ho 0.391 0.597 0.904
Ho 0.403 0.096 0.609
Ho 0.403 0.807 0.794
Ho 0.404 0.097 0.891
Ho 0.404 0.807 0.513
Ho 0.487 0.391 0.294
Ho 0.487 0.596 0.193
Ho 0.513 0.404 0.807
Ho 0.513 0.609 0.706
Ho 0.596 0.193 0.487
Ho 0.596 0.903 0.109
Ho 0.597 0.193 0.206
Ho 0.597 0.904 0.391
Ho 0.609 0.403 0.096
Ho 0.609 0.706 0.513
Ho 0.693 0.096 0.987
Ho 0.693 0.097 0.706
Ho 0.706 0.513 0.609
Ho 0.706 0.693 0.097
Ho 0.794 0.403 0.807
Ho 0.794 0.891 0.987
Ho 0.807 0.513 0.404
Ho 0.807 0.794 0.403
Ho 0.891 0.404 0.097
Ho 0.891 0.987 0.794
Ho 0.903 0.109 0.596
Ho 0.903 0.294 0.307
Ho 0.904 0.013 0.307
Ho 0.904 0.391 0.597
Ho 0.987 0.693 0.096
Ho 0.987 0.794 0.891
Hg 0.125 0.250 0.375
Hg 0.125 0.375 0.750
Hg 0.250 0.375 0.125
Hg 0.250 0.875 0.625
Hg 0.375 0.125 0.250
Hg 0.375 0.750 0.125
Hg 0.625 0.250 0.875
Hg 0.625 0.875 0.750
Hg 0.750 0.125 0.375
Hg 0.750 0.625 0.875
Hg 0.875 0.625 0.250
Hg 0.875 0.750 0.625
H 0.000 0.000 0.000
H 0.000 0.000 0.500
H 0.000 0.500 0.000
H 0.000 0.500 0.500
H 0.125 0.750 0.875
H 0.125 0.875 0.250
H 0.250 0.125 0.875
H 0.250 0.625 0.375
H 0.375 0.250 0.625
H 0.375 0.625 0.750
H 0.500 0.000 0.000
H 0.500 0.000 0.500
H 0.500 0.500 0.000
H 0.500 0.500 0.500
H 0.625 0.375 0.250
H 0.625 0.750 0.375
H 0.750 0.375 0.625
H 0.750 0.875 0.125
H 0.875 0.125 0.750
H 0.875 0.250 0.125

=====

Record 4
DFT (PBE-GGA) results for a relaxed NaBSe3 crystal.

ΔE_f (raw) (eV/f.u.): 7.625
Total magnetic moment (μB per formula unit): 1.85
Symmetry: Pm-3m, No. 221

abc: 5.155 5.155 5.155
angles: 90.00 90.00 90.00
Fractional coordinates of all 5 atoms:
Na 0.000 0.000 0.000
B 0.500 0.500 0.500
Se 0.000 0.000 0.500
Se 0.000 0.500 0.000
Se 0.500 0.000 0.000

=====

Record 5
DFT (PBE-GGA) results for a relaxed TbY2Ag crystal.

Energy of formation from the pure elements (meV/atom): -133
Total magnetic moment (μB per formula unit): 0.00
Symmetry: P4/mmm, No. 123

abc: 3.578 3.578 8.901
angles: 90.00 90.00 90.00
Fractional coordinates of all 4 atoms:
Tb 0.000 0.000 0.000
Y 0.500 0.500 0.286
Y 0.500 0.500 0.714
Ag 0.000 0.000 0.500

=====

Record 6
DFT (PBE-GGA) results for a relaxed CrTe2I crystal.

ΔE_f (raw) (eV/f.u.): -0.257
Total magnetic moment (μB per formula unit): 3.11
Symmetry: P1, No. 1

abc: 6.467 6.764 7.141
angles: 67.50 86.12 69.24
Fractional coordinates of all 8 atoms:
Cr 0.000 0.000 0.000
Cr 0.413 0.466 0.777
Te 0.124 0.323 0.047
Te 0.377 0.871 0.799
Te 0.626 0.204 0.146
Te 0.750 0.715 0.081
I 0.169 0.673 0.401
I 0.793 0.269 0.627

=====

Which of these has the highest total magnetic moment? CrTe2I

=====

Which formula does entry 6 have? CrTe2I

=====

Which value of total magnetic moment does entry 3 give? 0.00 μB per formula unit